The following is a PBE calculation of KTlCo2 after structural relaxation, from the Alexandria database.

Unit cell a=4.444 b=4.444 c=6.629 alpha=109.63 beta=109.63 gamma=60.08
Sites, in units of the cell vectors:
K1 0.000 0.000 0.000
Tl1 0.500 0.500 0.500
Co1 0.171 0.171 0.515
Co2 0.829 0.829 0.485

Properties
Total energy ... -3.928 eV/atom
Size of the total moment ... 2.3 μB per formula unit
Formation energy ... 1.96 eV per formula unit



The following is a PBE calculation of K2TlCo after structural relaxation, from the Alexandria database.

Unit cell a=5.074 b=4.645 c=7.834 alpha=90.00 beta=104.42 gamma=90.00
Sites, in units of the cell vectors:
K1 0.155 0.000 0.280
K2 0.845 0.000 0.720
Tl1 0.500 0.500 0.000
Co1 0.000 0.500 0.000

Properties
Total energy ... -2.364 eV/atom
Offset from the most stable computed form ... 146 meV per atom
Size of the total moment ... 1.3 μB per formula unit
Formation energy ... 2.21 eV per formula unit



The following is a PBE calculation of K2TlCo after structural relaxation, from the Alexandria database.

Unit cell a=5.831 b=5.831 c=5.831 alpha=60.00 beta=60.00 gamma=60.00
Sites, in units of the cell vectors:
K1 0.250 0.250 0.250
K2 0.750 0.750 0.750
Tl1 0.000 0.000 0.000
Co1 0.500 0.500 0.500

Properties
Total energy ... -2.150 eV/atom
Offset from the most stable computed form ... 360 meV per atom
Size of the total moment ... 1.0 μB per formula unit
Formation energy ... 3.07 eV per formula unit



The following is a PBE calculation of K2TlCo after structural relaxation, from the Alexandria database.

Unit cell a=4.539 b=4.539 c=9.321 alpha=103.23 beta=103.23 gamma=59.80
Sites, in units of the cell vectors:
K1 0.000 0.000 0.000
K2 0.169 0.169 0.543
Tl1 0.418 0.418 0.272
Co1 0.750 0.750 0.272

Properties
Total energy ... -2.509 eV/atom
Offset from the most stable computed form ... 0 meV per atom
Size of the total moment ... 1.1 μB per formula unit
Formation energy ... 1.63 eV per formula unit